(1)
VASP calculation (PBE) on a relaxed structure of Te4PbCl.

Unit cell a=6.368 b=6.368 c=6.368 alpha=60.00 beta=60.00 gamma=60.00
Atoms (fractional coordinates):
Te  0.125  0.125  0.125
Te  0.125  0.125  0.625
Te  0.125  0.625  0.125
Te  0.625  0.125  0.125
Pb  0.500  0.500  0.500
Cl  0.750  0.750  0.750

The formation energy without anion corrections is 0.055 eV/atom.

(2)
VASP calculation (PBE) on a relaxed structure of ScBiC3.

Unit cell a=4.394 b=4.394 c=4.394 alpha=90.00 beta=90.00 gamma=90.00
Atoms (fractional coordinates):
Sc  0.000  0.000  0.000
Bi  0.500  0.500  0.500
C  0.000  0.500  0.500
C  0.500  0.000  0.500
C  0.500  0.500  0.000

The calculated formation energy is 255 kJ per mole of atoms. The energy above the most stable polymorph in this dataset comes out at 558 meV per atom.

It is found that the mass density values, taken in the order of the records, are 6.85; 5.68 g cm⁻³.